Computed, not measured: a relaxed Sn6HgBr12 crystal at the GGA-PBE level of DFT.

a = 15.2682 Å, b = 15.2682 Å, c = 10.1479 Å
α = 90.00°, β = 90.00°, γ = 120.00°
Space group R-3 (No. 148, hexagonal axes)
Inequivalent atoms, fractional coordinates:
Sn 0.0866 0.8453 0.1568 (multiplicity 18)
Hg 0.0000 0.0000 0.5000 (multiplicity 3)
Br 0.0387 0.7752 0.4220 (multiplicity 18)
Br 0.0626 0.8780 0.8391 (multiplicity 18)

Output
Its total energy is -3.009 eV/atom. As for the formation energy (no corrections): -0.672 eV per atom.